Record 1
# BeV2S

A geometry-optimized BeV2S structure (GGA-PBE, Alexandria).

abc: 5.6998 5.6998 5.6998
angles: 90.00 90.00 90.00
Closest atoms and distances in Å follow each position.
Space group Fm-3m (No. 225)
Inequivalent atoms, fractional coordinates:
Be (0.0000, 0.0000, 0.0000) (multiplicity 4)  8 V 2.47
V (0.2500, 0.2500, 0.2500) (multiplicity 8)  4 S 2.47, 4 Be 2.47
S (0.0000, 0.0000, 0.5000) (multiplicity 4)  8 V 2.47

For the theoretical density, the calculation gives 5.128 g/cm³. The distance to the lowest polymorph of the same formula comes out at 0.000 eV per atom. For the magnetic moment, the calculation gives 0.00 μB per formula unit.

Record 2
# Ba4I5N2

A geometry-optimized Ba4I5N2 structure (GGA-PBE, Alexandria).

abc: 4.7423 9.0839 20.4008
angles: 90.00 90.00 90.00
Closest atoms and distances in Å follow each position.
Space group Immm (No. 71)
Inequivalent atoms, fractional coordinates:
Ba (0.0000, 0.0000, 0.1634) (multiplicity 4)  1 N 2.69
Ba (0.0000, 0.2976, 0.5000) (multiplicity 4)  4 N 3.07
I (0.0000, 0.2254, 0.3345) (multiplicity 8)  3 Ba 3.44
I (0.0000, 0.5000, 0.0000) (multiplicity 2)  4 Ba 3.60
N (0.0000, 0.0000, 0.0318) (multiplicity 4)  1 N 1.30

For the theoretical density, the calculation gives 4.579 g/cm³. The value obtained for the final energy is -0.31386 Ry per atom. For the magnetic moment, the calculation gives 1.04 μB per formula unit.

Record 3
# LiNdZn4

A geometry-optimized LiNdZn4 structure (GGA-PBE, Alexandria).

abc: 7.6358 7.6358 7.6358
angles: 90.00 90.00 90.00
Closest atoms and distances in Å follow each position.
Space group F-43m (No. 216)
Inequivalent atoms, fractional coordinates:
Li (0.0000, 0.0000, 0.0000) (multiplicity 4)  12 Zn 3.16, 4 Nd 3.31
Nd (0.2500, 0.2500, 0.2500) (multiplicity 4)  12 Zn 3.17, 4 Li 3.31
Zn (0.1255, 0.1255, 0.6255) (multiplicity 16)  6 Zn 2.69-2.71

For the theoretical density, the calculation gives 6.159 g/cm³. The distance to the lowest polymorph of the same formula comes out at 0.044 eV per atom. For the magnetic moment, the calculation gives 0.00 μB per formula unit. The value obtained for the calculated formation energy is -0.2306 eV per atom.

Record 4
# NdTmFe10

A geometry-optimized NdTmFe10 structure (GGA-PBE, Alexandria).

abc: 3.9499 5.0330 8.6903
angles: 90.00 90.00 90.00
Closest atoms and distances in Å follow each position.
Space group Pmmm (No. 47)
Inequivalent atoms, fractional coordinates:
Nd (0.0000, 0.0000, 0.0000) (multiplicity 1)  18 Fe 2.93-3.24
Tm (0.0000, 0.5000, 0.5000) (multiplicity 1)  14 Fe 2.85-3.15
Fe (0.0000, 0.0000, 0.3382) (multiplicity 2)  6 Fe 2.42-2.46
Fe (0.0000, 0.5000, 0.1718) (multiplicity 2)  6 Fe 2.45-2.48
Fe (0.5000, 0.0000, 0.5000) (multiplicity 1)  8 Fe 2.42-2.47
Fe (0.5000, 0.2530, 0.2560) (multiplicity 4)  8 Fe 2.45-2.55
Fe (0.5000, 0.5000, 0.0000) (multiplicity 1)  8 Fe 2.48-2.55

For the theoretical density, the calculation gives 8.378 g/cm³. For the magnetic moment, the calculation gives 19.73 μB per formula unit. The value obtained for the calculated formation energy is -0.0138 eV per atom.